Material: Rb3Ac2HfTe6
Method: DFT, GGA-PBE
State: relaxed

Lattice parameters (Å, degrees): 8.072 8.072 9.009 98.69 98.69 120.01
Positions (direct):
Rb: 0.000 0.000 0.000
Rb: 0.325 0.675 0.000
Rb: 0.675 0.325 0.000
Ac: 0.166 0.834 0.500
Ac: 0.834 0.166 0.500
Hf: 0.500 0.500 0.500
Te: 0.132 0.432 0.296
Te: 0.271 0.271 0.706
Te: 0.432 0.132 0.296
Te: 0.568 0.868 0.704
Te: 0.729 0.729 0.294
Te: 0.868 0.568 0.704

The space-group type is C2/m, No. 12. As for the volume: 485 Å³ per cell. The raw formation energy comes out at -1231 meV per atom. As for the energy: -4.56 eV per atom.